No. 1
This record from Alexandria describes Te3Mo2 after structural relaxation. The functional is GGA-PBE.

## Properties
Its energy above the lowest structure with this stoichiometry is 170.7 meV per atom.

Cell lengths 8.3810, 6.4977, 9.9604 Å; angles 56.63, 40.35, 83.01 degrees
With the nearest neighbours (Å) after each atom.
Sites, in units of the cell vectors:
Te1 0.0000 0.0000 0.0000  4 Mo 2.71-2.73
Te2 0.2500 0.2500 0.2500  4 Mo 2.71-2.73
Te3 0.3519 0.6995 0.2950  4 Mo 2.72-2.85
Te4 0.5964 0.9550 0.5505  4 Mo 2.72-2.85
Te5 0.6995 0.3519 0.6536  4 Mo 2.72-2.85
Te6 0.9550 0.5964 0.8981  4 Mo 2.72-2.85
Mo1 0.0272 0.5126 0.1577  6 Te 2.71-2.85
Mo2 0.0923 0.9475 0.2228  6 Te 2.71-2.85
Mo3 0.5126 0.0272 0.3025  6 Te 2.71-2.85
Mo4 0.9475 0.0923 0.7374  6 Te 2.71-2.85

No. 2
This record from Alexandria describes ZnF after structural relaxation. The functional is GGA-PBE.

## Properties
For the total energy, the calculation gives -3.17 eV per atom.

Cell lengths 9.0024, 9.0024, 2.9702 Å; angles 90.00, 90.00, 120.00 degrees
With the nearest neighbours (Å) after each atom.
Sites, in units of the cell vectors:
Zn1 0.0162 0.3949 0.2500  3 F 2.04-2.12
Zn2 0.3788 0.9838 0.2500  3 F 2.04-2.12
Zn3 0.3949 0.3788 0.7500  3 F 2.04-2.12
Zn4 0.6051 0.6212 0.2500  3 F 2.04-2.12
Zn5 0.6212 0.0162 0.7500  3 F 2.04-2.12
Zn6 0.9838 0.6051 0.7500  3 F 2.04-2.12
F1 0.1522 0.3426 0.7500  3 Zn 2.04-2.12
F2 0.1903 0.8478 0.7500  3 Zn 2.04-2.12
F3 0.3426 0.1903 0.2500  3 Zn 2.04-2.12
F4 0.6574 0.8097 0.7500  3 Zn 2.04-2.12
F5 0.8097 0.1522 0.2500  3 Zn 2.04-2.12
F6 0.8478 0.6574 0.2500  3 Zn 2.04-2.12

Number 1: volume 244.97 Å³/cell. Number 2: volume 208.46 Å³/cell.